Entry 1:
LiCo2Os | PBEsol | relaxed

Summary:
The value obtained for the size of the total moment is 1.9 Bohr magnetons per cell. As for the energy above the most stable polymorph in this dataset: 0 meV/atom.

Cell and atoms, written as CIF:
```
data_LiCo2Os
_symmetry_space_group_name_H-M 'P m m 2'
_symmetry_Int_Tables_number 25
_cell_length_a 2.508
_cell_length_b 3.719
_cell_length_c 4.916
_cell_angle_alpha 90.00
_cell_angle_beta 90.00
_cell_angle_gamma 90.00
loop_
_symmetry_equiv_pos_as_xyz
'x,y,z'
'-x,-y,z'
'-x,y,z'
'x,-y,z'
loop_
_atom_site_label
_atom_site_type_symbol
_atom_site_fract_x
_atom_site_fract_y
_atom_site_fract_z
_atom_site_occupancy
Li1 Li 0.000 0.000 0.000 1
Co1 Co 0.000 0.000 0.505 1
Co2 Co 0.500 0.500 0.788 1
Os1 Os 0.500 0.500 0.289 1
```

---

Entry 2:
LiCoOs2 | PBEsol | relaxed

Summary:
The value obtained for the size of the total moment is 0.0 Bohr magnetons per cell. As for the energy above the most stable polymorph in this dataset: 0 meV/atom.

Cell and atoms, written as CIF:
```
data_LiCoOs2
_symmetry_space_group_name_H-M 'C 1 2/m 1'
_symmetry_Int_Tables_number 12
_cell_length_a 8.694
_cell_length_b 2.625
_cell_length_c 4.504
_cell_angle_alpha 90.00
_cell_angle_beta 100.65
_cell_angle_gamma 90.00
loop_
_symmetry_equiv_pos_as_xyz
'x,y,z'
'-x,-y,-z'
'-x,y,-z'
'x,-y,z'
'x+1/2,y+1/2,z'
'-x+1/2,-y+1/2,-z'
'-x+1/2,y+1/2,-z'
'x+1/2,-y+1/2,z'
loop_
_atom_site_label
_atom_site_type_symbol
_atom_site_fract_x
_atom_site_fract_y
_atom_site_fract_z
_atom_site_occupancy
Li1 Li 0.000 0.000 0.000 1
Co1 Co 0.000 0.500 0.500 1
Os1 Os 0.233 0.000 0.744 1
```

---

Entry 3:
LiCo2Os | PBEsol | relaxed

Summary:
The value obtained for the size of the total moment is 6.2 Bohr magnetons per cell. As for the energy above the most stable polymorph in this dataset: 95 meV/atom.

Cell and atoms, written as CIF:
```
data_LiCo2Os
_symmetry_space_group_name_H-M 'C m m m'
_symmetry_Int_Tables_number 65
_symmetry_space_group_name_Hall '-C 2 2'
_cell_length_a 2.692
_cell_length_b 4.313
_cell_length_c 8.570
_cell_angle_alpha 90.00
_cell_angle_beta 90.00
_cell_angle_gamma 90.00
loop_
_atom_site_label
_atom_site_type_symbol
_atom_site_fract_x
_atom_site_fract_y
_atom_site_fract_z
_atom_site_occupancy
Li1 Li 0.000 0.000 0.000 1
Co1 Co 0.000 0.500 0.253 1
Os1 Os 0.000 0.000 0.500 1
```

---

Entry 4:
Li2Co12P7 | PBEsol | relaxed

Summary:
The calculation puts the total energy at -152.51 eV for the cell shown. The value obtained for the size of the total moment is 0.0 Bohr magnetons per cell.

Cell and atoms, written as CIF:
```
data_Li2Co12P7
_symmetry_space_group_name_H-M 'P -6'
_symmetry_Int_Tables_number 174
_cell_length_a 8.8050
_cell_length_b 8.8050
_cell_length_c 3.4057
_cell_angle_alpha 90.00
_cell_angle_beta 90.00
_cell_angle_gamma 120.00
loop_
_symmetry_equiv_pos_as_xyz
'x,y,z'
'-x+y,-x,-z'
'-y,x-y,z'
'x,y,-z'
'-x+y,-x,z'
'-y,x-y,-z'
loop_
_atom_site_label
_atom_site_type_symbol
_atom_site_fract_x
_atom_site_fract_y
_atom_site_fract_z
_atom_site_occupancy
Li1 Li 0.0000 0.0000 0.0000 1
Li2 Li 0.3333 0.6667 0.5000 1
Co1 Co 0.0448 0.2724 0.5000 1
Co2 Co 0.1047 0.7172 0.0000 1
Co3 Co 0.4300 0.1988 0.0000 1
Co4 Co 0.5116 0.4526 0.5000 1
P1 P 0.0772 0.4522 0.0000 1
P2 P 0.2558 0.2126 0.5000 1
P3 P 0.6667 0.3333 0.5000 1
```

---

Entry 5:
LiCo3P | PBEsol | relaxed

Summary:
The calculation puts the total energy at -26.11 eV for the cell shown. The value obtained for the size of the total moment is 1.2 Bohr magnetons per cell.

Cell and atoms, written as CIF:
```
data_LiCo3P
_symmetry_space_group_name_H-M 'P m -3 m'
_symmetry_Int_Tables_number 221
_symmetry_space_group_name_Hall '-P 4 2 3'
_cell_length_a 3.725
_cell_length_b 3.725
_cell_length_c 3.725
_cell_angle_alpha 90.00
_cell_angle_beta 90.00
_cell_angle_gamma 90.00
loop_
_atom_site_label
_atom_site_type_symbol
_atom_site_fract_x
_atom_site_fract_y
_atom_site_fract_z
_atom_site_occupancy
Li1 Li 0.000 0.000 0.000 1
Co1 Co 0.000 0.000 0.500 1
P1 P 0.500 0.500 0.500 1
```

---

Entry 6:
Li2CoP | PBEsol | relaxed

Summary:
The calculation puts the total energy at -37.08 eV for the cell shown. The value obtained for the size of the total moment is 0.0 Bohr magnetons per cell.

Cell and atoms, written as CIF:
```
data_Li2CoP
_symmetry_space_group_name_H-M 'I 4/m m m'
_symmetry_Int_Tables_number 139
_symmetry_space_group_name_Hall '-I 4 2'
_cell_length_a 3.305
_cell_length_b 3.305
_cell_length_c 7.985
_cell_angle_alpha 90.00
_cell_angle_beta 90.00
_cell_angle_gamma 90.00
loop_
_atom_site_label
_atom_site_type_symbol
_atom_site_fract_x
_atom_site_fract_y
_atom_site_fract_z
_atom_site_occupancy
Li1 Li 0.000 0.500 0.250 1
Co1 Co 0.000 0.000 0.000 1
P1 P 0.000 0.000 0.500 1
```

---

Entry 7:
LiCo6P4 | PBEsol | relaxed

Summary:
The calculation puts the total energy at -79.68 eV for the cell shown. The value obtained for the size of the total moment is 0.0 Bohr magnetons per cell.

Cell and atoms, written as CIF:
```
data_LiCo6P4
_symmetry_space_group_name_H-M 'P -6 m 2'
_symmetry_Int_Tables_number 187
_symmetry_space_group_name_Hall 'P -6 2'
_cell_length_a 6.4604
_cell_length_b 6.4604
_cell_length_c 3.2929
_cell_angle_alpha 90.00
_cell_angle_beta 90.00
_cell_angle_gamma 120.00
loop_
_atom_site_label
_atom_site_type_symbol
_atom_site_fract_x
_atom_site_fract_y
_atom_site_fract_z
_atom_site_occupancy
Li1 Li 0.0000 0.0000 0.0000 1
Co1 Co 0.2002 0.4004 0.5000 1
Co2 Co 0.5359 0.0717 0.0000 1
P1 P 0.3333 0.6667 0.0000 1
P2 P 0.3678 0.1839 0.5000 1
```

---

Entry 8:
Li2CoP | PBEsol | relaxed

Summary:
The calculation puts the total energy at -70.62 eV for the cell shown. The value obtained for the size of the total moment is 0.0 Bohr magnetons per cell.

Cell and atoms, written as CIF:
```
data_Li2CoP
_symmetry_space_group_name_H-M 'I -4 2 d'
_symmetry_Int_Tables_number 122
_symmetry_space_group_name_Hall 'I -4 2bw'
_cell_length_a 3.297
_cell_length_b 3.297
_cell_length_c 17.568
_cell_angle_alpha 90.00
_cell_angle_beta 90.00
_cell_angle_gamma 90.00
loop_
_atom_site_label
_atom_site_type_symbol
_atom_site_fract_x
_atom_site_fract_y
_atom_site_fract_z
_atom_site_occupancy
Li1 Li 0.242 0.250 0.125 1
Co1 Co 0.000 0.000 0.500 1
P1 P 0.000 0.000 0.000 1
```